# 1
The following is a DFT calculation (PBE) of an optimized crystal structure of Ho2BiPt.

POSCAR file:
```
Ho2BiPt
1.0
3.564 0.000 0.000
0.000 3.564 0.000
0.000 0.000 7.939
Pt Ho Bi
1 2 1
direct
0.500 0.500 0.000
0.000 0.000 0.792
0.000 0.000 0.208
0.500 0.500 0.500
```

Computed properties:
**Formation energy from the elements**: -3.5 eV/f.u.
**Relative energy among the computed polymorphs**: 0.0117 eV/atom

=====

# 2
The following is a DFT calculation (PBE) of an optimized crystal structure of LaGd2Dy.

POSCAR file:
```
LaGd2Dy
1.0
5.750 0.000 0.000
2.875 4.980 0.000
2.875 1.660 4.695
Gd La Dy
2 1 1
direct
0.750 0.750 0.750
0.250 0.250 0.250
0.000 0.000 0.000
0.500 0.500 0.500
```

Computed properties:
**Formation energy from the elements**: 0.4 eV/f.u.
**Relative energy among the computed polymorphs**: 0.0728 eV/atom

=====

# 3
The following is a DFT calculation (PBE) of an optimized crystal structure of Ti2TeRh.

POSCAR file:
```
Ti2TeRh
1.0
7.247 0.000 0.000
0.000 7.247 0.000
3.623 3.623 2.846
Ti Te Rh
4 2 2
direct
0.875 0.842 0.750
0.592 0.125 0.250
0.158 0.625 0.250
0.375 0.408 0.750
0.000 0.000 0.000
0.750 0.250 0.500
0.500 0.500 0.000
0.250 0.750 0.500
```

Computed properties:
**Uncorrected formation energy**: -0.27 eV per atom

=====

# 4
The following is a DFT calculation (PBE) of an optimized crystal structure of NdSm6Dy3Er2.

POSCAR file:
```
NdSm6Dy3Er2
1.0
6.222 0.000 0.012
-3.109 5.389 0.012
-1.058 -1.831 11.683
Sm Er Nd Dy
6 2 1 3
direct
0.084 0.418 0.251
0.750 0.750 0.251
0.250 0.250 0.749
0.418 0.084 0.251
0.916 0.582 0.749
0.582 0.916 0.749
0.667 0.333 0.000
0.333 0.667 0.000
0.000 0.000 0.000
0.167 0.833 0.500
0.500 0.500 0.500
0.833 0.167 0.500
```

Computed properties:
**Formation energy from the elements**: 0.2 eV/f.u.

=====

# 5
The following is a DFT calculation (PBE) of an optimized crystal structure of BaTi3Pd.

POSCAR file:
```
BaTi3Pd
1.0
-0.740 1.237 -4.697
3.282 -3.376 -1.406
-3.581 -3.349 -0.318
Ti Pd Ba
3 1 1
direct
0.000 0.000 0.500
0.500 0.000 0.000
0.000 0.500 0.000
0.500 0.500 0.500
0.000 0.000 0.000
```

Computed properties:
**Formation energy from the elements**: 9.1 eV/f.u.
**Relative energy among the computed polymorphs**: 1.3176 eV/atom

=====

# 6
The following is a DFT calculation (PBE) of an optimized crystal structure of HoTm2Sb2.

POSCAR file:
```
HoTm2Sb2
1.0
-3.411 0.814 -3.170
-3.818 -4.124 3.049
-1.495 6.395 6.778
Sb Tm Ho
4 4 2
direct
0.207 0.081 0.414
0.793 0.581 0.586
0.430 0.999 0.860
0.570 0.499 0.140
0.989 0.738 0.979
0.011 0.238 0.021
0.185 0.569 0.370
0.815 0.069 0.630
0.611 0.979 0.222
0.389 0.479 0.778
```

Computed properties:
**Uncorrected formation energy**: -0.80 eV per atom

=====

# 7
The following is a DFT calculation (PBE) of an optimized crystal structure of GaP3Au.

POSCAR file:
```
GaP3Au
1.0
4.660 0.000 0.000
0.000 4.660 0.000
0.000 0.000 4.660
Ga P Au
1 3 1
direct
0.000 0.000 0.000
0.500 0.000 0.000
0.000 0.000 0.500
0.000 0.500 0.000
0.500 0.500 0.500
```

Computed properties:
**Formation energy from the elements**: 5.4 eV/f.u.
**Relative energy among the computed polymorphs**: 0.0000 eV/atom

=====

# 8
The following is a DFT calculation (PBE) of an optimized crystal structure of Nd8Ho6Er.

POSCAR file:
```
Nd8Ho6Er
1.0
9.126 0.000 0.000
4.563 7.904 0.000
4.563 2.635 6.979
Nd Ho Er
8 6 1
direct
0.578 0.578 0.266
0.752 0.716 0.419
0.284 0.887 0.581
0.248 0.284 0.581
0.113 0.752 0.419
0.422 0.422 0.734
0.716 0.113 0.419
0.887 0.248 0.581
0.904 0.753 0.884
0.247 0.540 0.116
0.096 0.247 0.116
0.460 0.904 0.884
0.540 0.096 0.116
0.753 0.460 0.884
0.000 0.000 0.000
```

Computed properties:
**Formation energy from the elements**: 1.9 eV/f.u.
**Relative energy among the computed polymorphs**: 0.0000 eV/atom